# TaMnGa2Hg, optimized geometry, DFT PBE-GGA
# Volume: 178.0 Å³ per cell
# Formation energy: 1.74 eV/atom
data_TaMnGa2Hg
_cell_length_a 5.431
_cell_length_b 5.431
_cell_length_c 6.036
_cell_angle_alpha 90.00
_cell_angle_beta 90.00
_cell_angle_gamma 90.00
_symmetry_space_group_name_H-M 'P 4/m m m'
_symmetry_Int_Tables_number 123
_symmetry_space_group_name_Hall '-P 4 2'
loop_
_atom_site_label
_atom_site_type_symbol
_atom_site_fract_x
_atom_site_fract_y
_atom_site_fract_z
Ta1 Ta 0.000 0.000 0.000
Mn1 Mn 0.500 0.500 0.000
Ga1 Ga 0.000 0.500 0.500
Hg1 Hg 0.000 0.000 0.500

=====

# CsP2ICl, optimized geometry, DFT PBE-GGA
# Volume: 222.3 Å³ per cell
# Formation energy (no corrections): 6.0 eV/f.u.
# Relative energy among the computed polymorphs: 4.35 eV/f.u.
data_CsP2ICl
_cell_length_a 6.125
_cell_length_b 6.125
_cell_length_c 5.926
_cell_angle_alpha 90.00
_cell_angle_beta 90.00
_cell_angle_gamma 90.00
_symmetry_space_group_name_H-M 'P 4/m m m'
_symmetry_Int_Tables_number 123
_symmetry_space_group_name_Hall '-P 4 2'
loop_
_atom_site_label
_atom_site_type_symbol
_atom_site_fract_x
_atom_site_fract_y
_atom_site_fract_z
Cs1 Cs 0.000 0.000 0.000
P1 P 0.000 0.500 0.000
I1 I 0.500 0.500 0.500
Cl1 Cl 0.000 0.000 0.500

=====

# BeAs2C, optimized geometry, DFT PBE-GGA
# Volume: 211.2 Å³ per cell
# Relative energy among the computed polymorphs: 4.65 eV/f.u.
# Formation energy: 1.51 eV/atom
data_BeAs2C
_cell_length_a 5.956
_cell_length_b 5.956
_cell_length_c 5.956
_cell_angle_alpha 90.00
_cell_angle_beta 90.00
_cell_angle_gamma 90.00
_symmetry_space_group_name_H-M 'F m -3 m'
_symmetry_Int_Tables_number 225
_symmetry_space_group_name_Hall '-F 4 2 3'
loop_
_atom_site_label
_atom_site_type_symbol
_atom_site_fract_x
_atom_site_fract_y
_atom_site_fract_z
Be1 Be 0.000 0.000 0.000
As1 As 0.250 0.250 0.250
C1 C 0.000 0.000 0.500

=====

# Ba2NaLiPb, optimized geometry, DFT PBE-GGA
# Volume: 252.8 Å³ per cell
# Formation energy: -0.12 eV/atom
data_Ba2NaLiPb
_cell_length_a 6.870
_cell_length_b 6.870
_cell_length_c 5.357
_cell_angle_alpha 90.00
_cell_angle_beta 90.00
_cell_angle_gamma 90.00
_symmetry_space_group_name_H-M 'P 4/m m m'
_symmetry_Int_Tables_number 123
_symmetry_space_group_name_Hall '-P 4 2'
loop_
_atom_site_label
_atom_site_type_symbol
_atom_site_fract_x
_atom_site_fract_y
_atom_site_fract_z
Ba1 Ba 0.000 0.500 0.000
Na1 Na 0.000 0.000 0.500
Li1 Li 0.500 0.500 0.500
Pb1 Pb 0.500 0.500 0.000